A plane-wave DFT calculation with PBE-GGA was carried out for TlRhCl2 after structural relaxation.

The structure in POSCAR format:
```
TlRhCl2
1.0
3.5214 0.0000 0.0000
0.0000 5.9086 0.1850
0.0000 2.9155 5.1400
Tl Rh Cl
1 1 2
Cartesian
1.7607 6.6181 3.9937
1.7607 2.2060 1.3312
0.0000 0.8449 0.5134
0.0000 3.5672 2.1490
```

Output
Space group   Cmmm, No. 65
Crystal system   orthorhombic
Energy above the most stable polymorph in this dataset   0.0058 eV per atom
ΔE_f (raw)   -435 meV/atom
Energy   -15.152 eV per cell
Spin magnetization   0.00 μB per formula unit